FeReCl2 | PBE | optimized geometry

abc: 6.3757 5.7141 2.8182
angles: 60.74 115.73 131.68
With the nearest neighbours (Å) after each atom.
Fractional coordinates of all 4 atoms:
Fe 0.0000 0.5000 0.5000  4 Cl 2.49
Cl 0.0000 0.0000 0.0000  2 Re 2.49, 2 Fe 2.49
Re 0.5000 0.5000 0.0000  4 Cl 2.49
Cl 0.5000 0.0000 0.5000  2 Fe 2.49, 2 Re 2.49

Properties
Symmetry: C2/m, No. 12
Energy above the lowest structure with this stoichiometry, kJ/mol of atoms: 78.6

=====

FeReCl2 | PBE | optimized geometry

abc: 2.9567 3.0296 8.4235
angles: 90.30 90.00 90.00
With the nearest neighbours (Å) after each atom.
Fractional coordinates of all 4 atoms:
Cl 0.5000 0.3709 0.3310  2 Fe 2.27
Fe 0.0000 0.3736 0.5354  2 Cl 2.27
Cl 0.0000 0.8793 0.9280  2 Re 2.39
Re 0.5000 0.8761 0.7055  2 Cl 2.39, 4 Fe 2.56

Properties
Symmetry: Pm, No. 6
Energy above the lowest structure with this stoichiometry, kJ/mol of atoms: 0.0

=====

FeReCl2 | PBE | optimized geometry

abc: 4.1188 2.8482 5.6435
angles: 75.78 90.00 90.00
With the nearest neighbours (Å) after each atom.
Fractional coordinates of all 4 atoms:
Cl 0.0000 0.1261 0.0024  2 Re 2.48, 2 Fe 2.57, 1 Cl 2.76
Fe 0.5000 0.7500 0.2500  4 Cl 2.57, 2 Re 2.83, 2 Fe 2.85
Re 0.5000 0.2500 0.7500  4 Cl 2.48
Cl 0.0000 0.3739 0.4976  2 Re 2.48, 2 Fe 2.57, 1 Cl 2.76

Properties
Symmetry: P2/m, No. 10
Energy above the lowest structure with this stoichiometry, kJ/mol of atoms: 70.1

=====

FeReCl | PBE | optimized geometry

abc: 4.2039 4.2039 2.7892
angles: 90.00 90.00 120.00
With the nearest neighbours (Å) after each atom.
Fractional coordinates of all 3 atoms:
Re 0.3333 0.6667 0.8334  3 Cl 2.43
Fe 0.6667 0.3333 0.3337  2 Fe 2.79, 6 Cl 2.80, 6 Re 2.80
Cl 0.0000 0.0000 0.8329  3 Re 2.43

Properties
Symmetry: P-6m2, No. 187
Energy above the lowest structure with this stoichiometry, kJ/mol of atoms: 43.7

=====

FeReCl3 | PBE | optimized geometry

abc: 4.7983 4.7983 4.7983
angles: 90.00 90.00 90.00
With the nearest neighbours (Å) after each atom.
Fractional coordinates of all 5 atoms:
Cl 0.0000 0.5000 0.0000  2 Re 2.40
Fe 0.5000 0.5000 0.5000  12 Cl 3.39
Cl 0.0000 0.0000 0.5000  2 Re 2.40
Re 0.0000 0.0000 0.0000  6 Cl 2.40
Cl 0.5000 0.0000 0.0000  2 Re 2.40

Properties
Symmetry: Pm-3m, No. 221
Energy above the lowest structure with this stoichiometry, kJ/mol of atoms: 5.8

=====

FeReCl | PBE | optimized geometry

abc: 4.0952 4.0952 4.0952
angles: 60.00 60.00 60.00
With the nearest neighbours (Å) after each atom.
Fractional coordinates of all 3 atoms:
Re 0.2500 0.2500 0.2500  4 Cl 2.51, 4 Fe 2.51
Cl 0.0000 0.0000 0.0000  4 Re 2.51
Fe 0.5000 0.5000 0.5000  4 Re 2.51

Properties
Symmetry: F-43m, No. 216
Energy above the lowest structure with this stoichiometry, kJ/mol of atoms: 67.3

=====

FeReCl2 | PBE | optimized geometry

abc: 2.8258 2.8258 10.3121
angles: 90.00 90.00 90.00
With the nearest neighbours (Å) after each atom.
Fractional coordinates of all 4 atoms:
Fe 0.5000 0.5000 0.2500  8 Cl 2.53, 4 Fe 2.83
Cl 0.0000 0.0000 0.4009  4 Fe 2.53, 4 Cl 2.83
Cl 0.0000 0.0000 0.0991  4 Fe 2.53, 4 Cl 2.83
Re 0.5000 0.5000 0.7500  4 Re 2.83

Properties
Symmetry: P4/mmm, No. 123
Energy above the lowest structure with this stoichiometry, kJ/mol of atoms: 89.6

=====

FeReCl2 | PBE | optimized geometry

abc: 7.7538 7.7538 7.7538
angles: 22.47 22.47 22.47
With the nearest neighbours (Å) after each atom.
Fractional coordinates of all 4 atoms:
Cl 0.1010 0.1010 0.1010  1 Re 2.29, 3 Fe 2.29
Cl 0.8990 0.8990 0.8990  1 Re 2.29, 3 Fe 2.29
Fe 0.5000 0.5000 0.5000  6 Cl 2.29
Re 0.0000 0.0000 0.0000  2 Cl 2.29

Properties
Symmetry: R-3m, No. 166
Energy above the lowest structure with this stoichiometry, kJ/mol of atoms: 59.0

=====

FeReCl2 | PBE | optimized geometry

abc: 7.1870 7.1870 4.3275
angles: 86.88 86.88 23.36
With the nearest neighbours (Å) after each atom.
Fractional coordinates of all 4 atoms:
Fe 0.7500 0.7500 0.7500  4 Cl 2.58, 4 Re 2.61
Cl 0.1122 0.1122 0.9774  1 Re 2.33, 2 Fe 2.58
Re 0.2500 0.2500 0.2500  2 Cl 2.33
Cl 0.3878 0.3878 0.5226  1 Re 2.33, 2 Fe 2.58

Properties
Symmetry: C2/m, No. 12
Energy above the lowest structure with this stoichiometry, kJ/mol of atoms: 32.8

=====

FeReCl | PBE | optimized geometry

abc: 6.7672 6.4559 2.8893
angles: 83.49 71.41 25.10
With the nearest neighbours (Å) after each atom.
Fractional coordinates of all 3 atoms:
Fe 0.6677 0.6677 0.3323  2 Re 2.41, 2 Cl 2.44
Cl 0.0123 0.0123 0.9877  2 Fe 2.44
Re 0.3200 0.3200 0.6800  2 Fe 2.41

Properties
Symmetry: Fmm2, No. 42
Energy above the lowest structure with this stoichiometry, kJ/mol of atoms: 15.3

=====

FeReCl2 | PBE | optimized geometry

abc: 7.3829 7.3829 7.3829
angles: 156.93 146.20 41.33
With the nearest neighbours (Å) after each atom.
Fractional coordinates of all 4 atoms:
Cl 0.3918 0.3918 0.0000  2 Re 2.45
Cl 0.1082 0.1082 0.0000  2 Re 2.45
Re 0.2500 0.7500 0.5000  4 Cl 2.45, 4 Fe 2.61
Fe 0.7500 0.2500 0.5000  4 Re 2.61, 4 Cl 2.91

Properties
Symmetry: Immm, No. 71
Energy above the lowest structure with this stoichiometry, kJ/mol of atoms: 30.1

=====

FeReCl2 | PBE | optimized geometry

abc: 9.2616 9.2616 9.2616
angles: 19.01 19.01 19.01
With the nearest neighbours (Å) after each atom.
Fractional coordinates of all 4 atoms:
Cl 0.2204 0.2204 0.2204  3 Fe 2.39
Re 0.7592 0.7592 0.7592  3 Cl 2.54, 3 Fe 2.58
Fe 0.4949 0.4949 0.4949  3 Cl 2.39, 3 Re 2.58
Cl 0.0254 0.0254 0.0254  3 Re 2.54

Properties
Symmetry: R3m, No. 160
Energy above the lowest structure with this stoichiometry, kJ/mol of atoms: 5.2

=====

FeReCl2 | PBE | optimized geometry

abc: 2.8344 5.6311 4.1996
angles: 90.00 90.00 90.00
With the nearest neighbours (Å) after each atom.
Fractional coordinates of all 4 atoms:
Fe 0.5000 0.0000 0.5000  4 Cl 2.53, 2 Fe 2.83
Re 0.0000 0.5000 0.5000  4 Cl 2.53, 2 Re 2.83
Cl 0.0000 0.0000 0.0000  4 Fe 2.53, 2 Cl 2.83
Cl 0.5000 0.5000 0.0000  4 Re 2.53, 2 Cl 2.83

Properties
Symmetry: Pmmm, No. 47
Energy above the lowest structure with this stoichiometry, kJ/mol of atoms: 83.6

=====

FeReS2Cl | PBE | optimized geometry

abc: 4.5807 4.5807 4.4683
angles: 90.00 90.00 90.00
With the nearest neighbours (Å) after each atom.
Fractional coordinates of all 5 atoms:
Cl 0.0000 0.0000 0.5000  2 Fe 2.23
S 0.0000 0.5000 0.0000  2 Fe 2.29
Fe 0.0000 0.0000 0.0000  2 Cl 2.23, 4 S 2.29
Re 0.5000 0.5000 0.5000  8 S 3.20, 4 Cl 3.24
S 0.5000 0.0000 0.0000  2 Fe 2.29

Properties
Symmetry: P4/mmm, No. 123
Energy above the lowest structure with this stoichiometry, kJ/mol of atoms: 29.4

=====

FeReS2Cl | PBE | optimized geometry

abc: 4.5575 4.5575 5.0532
angles: 90.00 90.00 90.00
With the nearest neighbours (Å) after each atom.
Fractional coordinates of all 5 atoms:
Fe 0.5000 0.5000 0.5000  4 Cl 3.22, 8 S 3.40
S 0.5000 0.0000 0.0000  2 Re 2.28
Cl 0.0000 0.0000 0.5000  2 Re 2.53
S 0.0000 0.5000 0.0000  2 Re 2.28
Re 0.0000 0.0000 0.0000  4 S 2.28, 2 Cl 2.53

Properties
Symmetry: P4/mmm, No. 123
Energy above the lowest structure with this stoichiometry, kJ/mol of atoms: 0.0

=====

Fe2ReSbCl | PBE | optimized geometry

abc: 4.6201 4.6201 4.4523
angles: 90.00 90.00 90.00
With the nearest neighbours (Å) after each atom.
Fractional coordinates of all 5 atoms:
Re 0.0000 0.0000 0.0000  2 Cl 2.23, 4 Fe 2.31
Sb 0.5000 0.5000 0.5000  8 Fe 3.21, 4 Cl 3.27
Fe 0.5000 0.0000 0.0000  2 Re 2.31
Cl 0.0000 0.0000 0.5000  2 Re 2.23
Fe 0.0000 0.5000 0.0000  2 Re 2.31

Properties
Symmetry: P4/mmm, No. 123

=====

V2FeReCl | PBE | optimized geometry

abc: 4.3770 4.3770 4.4860
angles: 90.00 90.00 90.00
With the nearest neighbours (Å) after each atom.
Fractional coordinates of all 5 atoms:
Fe 0.0000 0.0000 0.0000  4 V 2.19, 2 Re 2.24
Re 0.0000 0.0000 0.5000  2 Fe 2.24
V 0.5000 0.0000 0.0000  2 Fe 2.19
V 0.0000 0.5000 0.0000  2 Fe 2.19
Cl 0.5000 0.5000 0.5000  4 Re 3.09, 8 V 3.13

Properties
Symmetry: P4/mmm, No. 123

=====

FeRe2WCl | PBE | optimized geometry

abc: 4.2894 4.3407 4.2894
angles: 90.00 90.00 90.00
With the nearest neighbours (Å) after each atom.
Fractional coordinates of all 5 atoms:
Cl 0.0000 0.0000 0.0000  4 Re 2.14, 2 W 2.17
Re 0.5000 0.0000 0.0000  2 Cl 2.14
W 0.0000 0.5000 0.0000  2 Cl 2.17
Re 0.0000 0.0000 0.5000  2 Cl 2.14
Fe 0.5000 0.5000 0.5000  4 W 3.03, 8 Re 3.05

Properties
Symmetry: P4/mmm, No. 123

=====

Zn2FeReCl | PBE | optimized geometry

abc: 4.8143 4.1360 4.8143
angles: 90.00 90.00 90.00
With the nearest neighbours (Å) after each atom.
Fractional coordinates of all 5 atoms:
Fe 0.0000 0.0000 0.0000  2 Cl 2.07
Zn 0.0000 0.0000 0.5000  2 Fe 2.41
Zn 0.5000 0.0000 0.0000  2 Fe 2.41
Cl 0.0000 0.5000 0.0000  2 Fe 2.07
Re 0.5000 0.5000 0.5000  8 Zn 3.17, 4 Cl 3.40

Properties
Symmetry: P4/mmm, No. 123

=====

FeRh3Cl | PBE | optimized geometry

abc: 4.3717 4.3717 4.3717
angles: 90.00 90.00 90.00
With the nearest neighbours (Å) after each atom.
Fractional coordinates of all 5 atoms:
Cl 0.0000 0.0000 0.0000  6 Rh 2.19
Rh 0.5000 0.0000 0.0000  2 Cl 2.19
Rh 0.0000 0.5000 0.0000  2 Cl 2.19
Rh 0.0000 0.0000 0.5000  2 Cl 2.19
Fe 0.5000 0.5000 0.5000  12 Rh 3.09

Properties
Symmetry: Pm-3m, No. 221
Energy above the lowest structure with this stoichiometry, kJ/mol of atoms: 0.0

=====

FeRh3Cl | PBE | optimized geometry

abc: 4.4960 4.4960 4.4960
angles: 90.00 90.00 90.00
With the nearest neighbours (Å) after each atom.
Fractional coordinates of all 5 atoms:
Cl 0.5000 0.5000 0.5000  12 Rh 3.18
Rh 0.5000 0.0000 0.0000  2 Fe 2.25
Fe 0.0000 0.0000 0.0000  6 Rh 2.25
Rh 0.0000 0.5000 0.0000  2 Fe 2.25
Rh 0.0000 0.0000 0.5000  2 Fe 2.25

Properties
Symmetry: Pm-3m, No. 221
Energy above the lowest structure with this stoichiometry, kJ/mol of atoms: 31.7

=====

Fe2RhCl | PBE | optimized geometry

abc: 6.0482 4.6233 2.8604
angles: 90.04 61.70 120.49
With the nearest neighbours (Å) after each atom.
Fractional coordinates of all 4 atoms:
Fe 0.5000 0.0000 0.5000  4 Fe 2.66-2.86, 4 Rh 2.72, 4 Cl 2.72
Fe 0.0000 0.0000 0.0000  4 Fe 2.66-2.86, 4 Cl 2.72, 4 Rh 2.72
Cl 0.5000 0.5000 0.0000  2 Rh 2.66, 8 Fe 2.72, 2 Cl 2.86
Rh 0.0000 0.5000 0.5000  2 Cl 2.66, 8 Fe 2.72, 2 Rh 2.86

Properties
Symmetry: Cmmm, No. 65
Energy above the lowest structure with this stoichiometry, kJ/mol of atoms: 32.0

=====

Fe2RhCl | PBE | optimized geometry

abc: 4.9873 4.9873 4.9873
angles: 136.95 136.95 62.51
With the nearest neighbours (Å) after each atom.
Fractional coordinates of all 4 atoms:
Cl 0.7500 0.2500 0.5000  4 Rh 2.59, 8 Fe 2.81
Rh 0.2500 0.7500 0.5000  4 Cl 2.59, 8 Fe 2.81
Fe 0.0000 0.0000 0.0000  4 Fe 2.59, 4 Cl 2.81, 4 Rh 2.81
Fe 0.5000 0.5000 0.0000  4 Fe 2.59, 4 Cl 2.81, 4 Rh 2.81

Properties
Symmetry: I4/mmm, No. 139
Energy above the lowest structure with this stoichiometry, kJ/mol of atoms: 49.3

=====

FeRhCl2 | PBE | optimized geometry

abc: 5.4876 5.4876 6.1719
angles: 63.60 63.60 90.00
With the nearest neighbours (Å) after each atom.
Fractional coordinates of all 8 atoms:
Rh 0.0000 0.0000 0.0000  4 Cl 2.40
Cl 0.8750 0.8393 0.7500  2 Fe 2.17, 2 Rh 2.40
Fe 0.5000 0.5000 0.0000  4 Cl 2.17
Rh 0.7500 0.2500 0.5000  4 Cl 2.40
Cl 0.3750 0.4107 0.7500  2 Fe 2.17, 2 Rh 2.40
Cl 0.1607 0.6250 0.2500  2 Fe 2.17, 2 Rh 2.40
Fe 0.2500 0.7500 0.5000  4 Cl 2.17
Cl 0.5893 0.1250 0.2500  2 Fe 2.17, 2 Rh 2.40

Properties
Symmetry: I-42d, No. 122
Energy above the lowest structure with this stoichiometry, kJ/mol of atoms: 65.6

=====

Fe2RhCl | PBE | optimized geometry

abc: 2.8994 4.3275 4.4548
angles: 90.00 90.00 90.00
With the nearest neighbours (Å) after each atom.
Fractional coordinates of all 4 atoms:
Cl 0.0000 0.5000 0.5000  4 Rh 2.60, 4 Fe 2.66, 2 Cl 2.90
Fe 0.0000 0.0000 0.0000  6 Fe 2.60-2.90, 4 Rh 2.66
Fe 0.5000 0.5000 0.0000  6 Fe 2.60-2.90, 4 Cl 2.66
Rh 0.5000 0.0000 0.5000  4 Cl 2.60, 4 Fe 2.66, 2 Rh 2.90

Properties
Symmetry: Pmmm, No. 47
Energy above the lowest structure with this stoichiometry, kJ/mol of atoms: 38.6

=====

FeRhCl2 | PBE | optimized geometry

abc: 3.2223 3.2223 8.4454
angles: 90.00 90.00 113.98
With the nearest neighbours (Å) after each atom.
Fractional coordinates of all 4 atoms:
Fe 0.0000 0.0000 0.5274  2 Rh 2.38, 2 Cl 2.39
Rh 0.5000 0.5000 0.7169  2 Fe 2.38, 2 Cl 2.46
Cl 0.0000 0.0000 0.9207  2 Rh 2.46
Cl 0.5000 0.5000 0.3351  2 Fe 2.39

Properties
Symmetry: Cmm2, No. 35
Energy above the lowest structure with this stoichiometry, kJ/mol of atoms: 17.2

=====

FeRhCl2 | PBE | optimized geometry

abc: 4.5560 4.5560 4.5560
angles: 60.00 60.00 60.00
With the nearest neighbours (Å) after each atom.
Fractional coordinates of all 4 atoms:
Cl 0.2500 0.2500 0.2500  4 Fe 2.79, 4 Cl 2.79
Cl 0.0000 0.0000 0.0000  4 Rh 2.79, 4 Cl 2.79
Rh 0.7500 0.7500 0.7500  4 Fe 2.79, 4 Cl 2.79
Fe 0.5000 0.5000 0.5000  4 Cl 2.79, 4 Rh 2.79

Properties
Symmetry: F-43m, No. 216
Energy above the lowest structure with this stoichiometry, kJ/mol of atoms: 78.0

=====

Fe2RhCl | PBE | optimized geometry

abc: 3.8836 3.8805 3.8805
angles: 90.00 90.00 90.00
With the nearest neighbours (Å) after each atom.
Fractional coordinates of all 4 atoms:
Cl 0.5000 0.0000 0.5000  4 Rh 2.74, 8 Fe 2.75
Fe 0.0000 0.0000 0.0000  4 Fe 2.74, 4 Rh 2.75, 4 Cl 2.75
Fe 0.0000 0.5000 0.5000  4 Fe 2.74, 4 Cl 2.75, 4 Rh 2.75
Rh 0.5000 0.5000 0.0000  4 Cl 2.74, 8 Fe 2.75

Properties
Symmetry: P4/mmm, No. 123
Energy above the lowest structure with this stoichiometry, kJ/mol of atoms: 49.7

=====

FeRhCl | PBE | optimized geometry

abc: 4.1635 4.1635 2.9541
angles: 90.00 90.00 120.00
With the nearest neighbours (Å) after each atom.
Fractional coordinates of all 3 atoms:
Rh 0.3333 0.6667 0.6841  6 Cl 2.75-2.89, 6 Fe 2.81-2.83, 2 Rh 2.95
Cl 0.0000 0.0000 0.1381  3 Fe 2.41
Fe 0.6667 0.3333 0.1778  3 Cl 2.41

Properties
Symmetry: P3m1, No. 156
Energy above the lowest structure with this stoichiometry, kJ/mol of atoms: 30.4

=====

FeRhCl2 | PBE | optimized geometry

abc: 3.0268 3.0268 8.0613
angles: 90.00 90.00 90.00
With the nearest neighbours (Å) after each atom.
Fractional coordinates of all 4 atoms:
Fe 0.0000 0.0000 0.5220  4 Cl 2.61, 4 Rh 2.67
Cl 0.0000 0.0000 0.9225  4 Rh 2.70
Rh 0.5000 0.5000 0.7190  4 Fe 2.67, 4 Cl 2.70
Cl 0.5000 0.5000 0.3365  4 Fe 2.61

Properties
Symmetry: P4mm, No. 99
Energy above the lowest structure with this stoichiometry, kJ/mol of atoms: 23.3

=====

| no. | formation energy (no corrections) (kJ/mol of formula units) | uncorrected energy (Ha/atom) | D(E_F) (states/eV per cell) |
| --- | --- | --- | --- |
| 1 | 310.0 | -0.1965 | 3.44 |
| 2 | -4.3 | -0.2265 | 3.37 |
| 3 | 275.9 | -0.1998 | 3.85 |
| 4 | 251.7 | -0.2468 | 2.72 |
| 5 | 383.5 | -0.1652 | 9.87 |
| 6 | 322.4 | -0.2378 | 1.99 |
| 7 | 353.9 | -0.1923 | 2.88 |
| 8 | 231.6 | -0.2040 | 6.18 |
| 9 | 127.1 | -0.2139 | 3.78 |
| 10 | 166.3 | -0.2577 | 2.38 |
| 11 | 116.0 | -0.2150 | 2.79 |
| 12 | 16.5 | -0.2245 | 3.37 |
| 13 | 330.0 | -0.1946 | 2.98 |
| 14 | 470.3 | -0.1921 | 3.22 |
| 15 | 323.2 | -0.2033 | 8.79 |
| 16 | 637.6 | -0.2112 | 8.70 |
| 17 | 611.7 | -0.2547 | 4.99 |
| 18 | 903.6 | -0.2851 | 9.49 |
| 19 | 630.0 | -0.1380 | 4.31 |
| 20 | 441.2 | -0.2043 | 8.40 |
| 21 | 599.6 | -0.1922 | 12.70 |
| 22 | 166.1 | -0.2242 | 3.37 |
| 23 | 235.5 | -0.2176 | 3.65 |
| 24 | 181.8 | -0.1619 | 14.46 |
| 25 | 192.5 | -0.2217 | 3.23 |
| 26 | -11.5 | -0.1803 | 1.38 |
| 27 | 231.4 | -0.1572 | 4.06 |
| 28 | 236.8 | -0.2175 | 3.76 |
| 29 | 121.7 | -0.2009 | 1.60 |
| 30 | 12.9 | -0.1780 | 4.48 |